[1]
{
  "formula": "Sc4Pd6Pt7",
  "functional": "PBE",
  "state": "relaxed",
  "lattice_angstrom": [[-4.1796, 4.1796, 4.1796], [4.1796, -4.1796, 4.1796], [4.1796, 4.1796, -4.1796]],
  "species": ["Sc", "Sc", "Sc", "Sc", "Pd", "Pd", "Pd", "Pd", "Pd", "Pd", "Pt", "Pt", "Pt", "Pt", "Pt", "Pt", "Pt"],
  "frac_coords": [[0.0000, 0.0000, 0.5000], [0.0000, 0.5000, 0.0000], [0.5000, 0.0000, 0.0000], [0.5000, 0.5000, 0.5000], [0.0000, 0.2990, 0.2990], [0.0000, 0.7010, 0.7010], [0.2990, 0.0000, 0.2990], [0.2990, 0.2990, 0.0000], [0.7010, 0.0000, 0.7010], [0.7010, 0.7010, 0.0000], [0.0000, 0.0000, 0.0000], [0.2500, 0.5000, 0.7500], [0.2500, 0.7500, 0.5000], [0.5000, 0.2500, 0.7500], [0.5000, 0.7500, 0.2500], [0.7500, 0.2500, 0.5000], [0.7500, 0.5000, 0.2500]],
  "total_energy_ev_per_atom": -6.4980,
  "e_form_ev_per_atom": -0.688
}


[2]
{
  "formula": "Ba2NaCaO",
  "functional": "PBE",
  "state": "relaxed",
  "lattice_angstrom": [[6.0741, 0.0000, 0.0000], [0.0000, 6.0741, 0.0000], [0.0000, 0.0000, 4.6958]],
  "species": ["Ba", "Ba", "Na", "Ca", "O"],
  "frac_coords": [[0.0000, 0.5000, 0.0000], [0.5000, 0.0000, 0.0000], [0.0000, 0.0000, 0.5000], [0.5000, 0.5000, 0.5000], [0.5000, 0.5000, 0.0000]],
  "total_energy_ev_per_atom": -3.3782,
  "raw_formation_energy_ev_per_fu": -4.8
}


[3]
{
  "formula": "Be2Te7Cl6",
  "functional": "PBE",
  "state": "relaxed",
  "lattice_angstrom": [[5.5286, 0.0000, 0.0000], [0.0000, 10.3671, 0.0000], [0.0000, 0.0000, 16.8530]],
  "species": ["Be", "Be", "Be", "Be", "Te", "Te", "Te", "Te", "Te", "Te", "Te", "Te", "Te", "Te", "Te", "Te", "Te", "Te", "Cl", "Cl", "Cl", "Cl", "Cl", "Cl", "Cl", "Cl", "Cl", "Cl", "Cl", "Cl"],
  "frac_coords": [[0.0000, 0.0000, 0.0805], [0.0000, 0.0000, 0.9195], [0.5000, 0.5000, 0.4195], [0.5000, 0.5000, 0.5805], [0.0000, 0.5000, 0.0000], [0.0000, 0.5000, 0.2386], [0.0000, 0.5000, 0.7614], [0.1713, 0.1036, 0.3719], [0.1713, 0.1036, 0.6281], [0.3287, 0.6036, 0.1281], [0.3287, 0.6036, 0.8719], [0.5000, 0.0000, 0.2614], [0.5000, 0.0000, 0.5000], [0.5000, 0.0000, 0.7386], [0.6713, 0.3964, 0.1281], [0.6713, 0.3964, 0.8719], [0.8287, 0.8964, 0.3719], [0.8287, 0.8964, 0.6281], [0.1577, 0.1368, 0.1463], [0.1577, 0.1368, 0.8537], [0.2308, 0.9131, 0.0000], [0.2692, 0.4131, 0.5000], [0.3423, 0.6368, 0.3537], [0.3423, 0.6368, 0.6463], [0.6577, 0.3632, 0.3537], [0.6577, 0.3632, 0.6463], [0.7308, 0.5869, 0.5000], [0.7692, 0.0869, 0.0000], [0.8423, 0.8632, 0.1463], [0.8423, 0.8632, 0.8537]],
  "total_energy_ev_per_atom": -3.3783,
  "raw_formation_energy_ev_per_fu": -10.2
}


[4]
{
  "formula": "Pr2Y7",
  "functional": "PBE",
  "state": "relaxed",
  "lattice_angstrom": [[6.2428, 0.0000, 0.0000], [-3.1214, 5.4064, 0.0000], [0.0000, 0.0000, 8.8144]],
  "species": ["Pr", "Pr", "Y", "Y", "Y", "Y", "Y", "Y", "Y"],
  "frac_coords": [[0.3333, 0.6667, 0.0000], [0.6667, 0.3333, 0.0000], [0.0000, 0.0000, 0.0000], [0.0000, 0.3327, 0.6641], [0.0000, 0.6673, 0.3359], [0.3327, 0.0000, 0.6641], [0.3327, 0.3327, 0.3359], [0.6673, 0.0000, 0.3359], [0.6673, 0.6673, 0.6641]],
  "total_energy_ev_per_atom": -6.0715,
  "e_form_ev_per_atom": 0.018
}


[5]
{
  "formula": "Al3TlBr",
  "functional": "PBE",
  "state": "relaxed",
  "lattice_angstrom": [[5.4621, 0.0000, 0.0000], [0.0000, 5.4621, 0.0000], [0.0000, 0.0000, 5.4621]],
  "species": ["Al", "Al", "Al", "Tl", "Br"],
  "frac_coords": [[0.0000, 0.0000, 0.5000], [0.0000, 0.5000, 0.0000], [0.5000, 0.0000, 0.0000], [0.0000, 0.0000, 0.0000], [0.5000, 0.5000, 0.5000]],
  "total_energy_ev_per_atom": -2.4086,
  "raw_formation_energy_ev_per_fu": 3.2,
  "relative_energy_mev_per_atom": 0
}


[6]
{
  "formula": "NdTm3Bi4",
  "functional": "PBE",
  "state": "relaxed",
  "lattice_angstrom": [[4.4766, -6.3332, 0.0000], [4.4766, 6.3332, 0.0000], [0.0000, 0.0000, 4.4848]],
  "species": ["Nd", "Tm", "Tm", "Tm", "Bi", "Bi", "Bi", "Bi"],
  "frac_coords": [[0.0000, 0.0000, 0.0000], [0.0000, 0.5000, 0.5000], [0.5000, 0.0000, 0.5000], [0.5000, 0.5000, 0.0000], [0.2541, 0.7459, 0.0000], [0.2581, 0.2581, 0.5000], [0.7419, 0.7419, 0.5000], [0.7459, 0.2541, 0.0000]],
  "total_energy_ev_per_atom": -5.0296,
  "e_form_ev_per_atom": -0.816
}


[7]
{
  "formula": "CdInSn3",
  "functional": "PBE",
  "state": "relaxed",
  "lattice_angstrom": [[5.5542, 0.0000, 0.0000], [0.0000, 5.5542, 0.0000], [0.0000, 0.0000, 5.5542]],
  "species": ["Cd", "In", "Sn", "Sn", "Sn"],
  "frac_coords": [[0.0000, 0.0000, 0.0000], [0.5000, 0.5000, 0.5000], [0.0000, 0.0000, 0.5000], [0.0000, 0.5000, 0.0000], [0.5000, 0.0000, 0.0000]],
  "total_energy_ev_per_atom": -2.6351,
  "relative_energy_mev_per_atom": 419,
  "e_form_ev_per_atom": 0.497
}


[8]
{
  "formula": "ZnSi2Rh",
  "functional": "PBE",
  "state": "relaxed",
  "lattice_angstrom": [[2.8194, 0.0000, 0.0000], [0.0000, 2.8194, 0.0000], [0.0000, 0.0000, 7.3427]],
  "species": ["Zn", "Si", "Si", "Rh"],
  "frac_coords": [[0.0000, 0.0000, 0.0000], [0.5000, 0.5000, 0.2784], [0.5000, 0.5000, 0.7216], [0.0000, 0.0000, 0.5000]],
  "total_energy_ev_per_atom": -4.9772,
  "raw_formation_energy_ev_per_fu": -0.4
}


[9]
{
  "formula": "Dy2ZnSe",
  "functional": "PBE",
  "state": "relaxed",
  "lattice_angstrom": [[1.9773, 1.1416, 7.2651], [-1.9773, 1.1416, 7.2651], [0.0000, -2.2832, 7.2651]],
  "species": ["Dy", "Dy", "Zn", "Se"],
  "frac_coords": [[0.2471, 0.2471, 0.2471], [0.7529, 0.7529, 0.7529], [0.0000, 0.0000, 0.0000], [0.5000, 0.5000, 0.5000]],
  "total_energy_ev_per_atom": -4.4963,
  "raw_formation_energy_ev_per_fu": -4.0,
  "relative_energy_mev_per_atom": 51
}


[10]
{
  "formula": "Sc2Mn2Al5Ru",
  "functional": "PBE",
  "state": "relaxed",
  "lattice_angstrom": [[10.5526, 0.0000, 0.0000], [0.0000, 10.5526, 0.0000], [0.0000, 0.0000, 2.9290]],
  "species": ["Sc", "Sc", "Sc", "Sc", "Mn", "Mn", "Mn", "Mn", "Al", "Al", "Al", "Al", "Al", "Al", "Al", "Al", "Al", "Al", "Ru", "Ru"],
  "frac_coords": [[0.1828, 0.3172, 0.0000], [0.3172, 0.8172, 0.0000], [0.6828, 0.1828, 0.0000], [0.8172, 0.6828, 0.0000], [0.1352, 0.6352, 0.0000], [0.3648, 0.1352, 0.0000], [0.6352, 0.8648, 0.0000], [0.8648, 0.3648, 0.0000], [0.0000, 0.5000, 0.5000], [0.0512, 0.8103, 0.5000], [0.1897, 0.0512, 0.5000], [0.3103, 0.5512, 0.5000], [0.4488, 0.3103, 0.5000], [0.5000, 0.0000, 0.5000], [0.5512, 0.6897, 0.5000], [0.6897, 0.4488, 0.5000], [0.8103, 0.9488, 0.5000], [0.9488, 0.1897, 0.5000], [0.0000, 0.0000, 0.0000], [0.5000, 0.5000, 0.0000]],
  "total_energy_ev_per_atom": -6.1733,
  "e_form_ev_per_atom": -0.274
}


[11]
{
  "formula": "Dy2Y5HoEr",
  "functional": "PBE",
  "state": "relaxed",
  "lattice_angstrom": [[2.7951, -9.9819, 0.0000], [2.7951, 9.9819, 0.0000], [0.0000, 0.0000, 10.5329]],
  "species": ["Dy", "Dy", "Dy", "Dy", "Y", "Y", "Y", "Y", "Y", "Y", "Y", "Y", "Y", "Y", "Ho", "Ho", "Er", "Er"],
  "frac_coords": [[0.1109, 0.8891, 0.5000], [0.1123, 0.8877, 0.0795], [0.8877, 0.1123, 0.5795], [0.8891, 0.1109, 0.0000], [0.0174, 0.9826, 0.7840], [0.2787, 0.7213, 0.0778], [0.3005, 0.6995, 0.4688], [0.3844, 0.6156, 0.7856], [0.4802, 0.5198, 0.5015], [0.5198, 0.4802, 0.0015], [0.6156, 0.3844, 0.2856], [0.6995, 0.3005, 0.9688], [0.7213, 0.2787, 0.5778], [0.9826, 0.0174, 0.2840], [0.1968, 0.8032, 0.7758], [0.8032, 0.1968, 0.2758], [0.4119, 0.5881, 0.2180], [0.5881, 0.4119, 0.7180]],
  "total_energy_ev_per_atom": -5.4714,
  "e_form_ev_per_atom": 0.158
}


[12]
{
  "formula": "Li2BeAg",
  "functional": "PBE",
  "state": "relaxed",
  "lattice_angstrom": [[-1.7452, 1.7452, 9.4623], [1.7452, -1.7452, 9.4623], [1.7452, 1.7452, -9.4623]],
  "species": ["Li", "Li", "Li", "Li", "Be", "Be", "Ag", "Ag"],
  "frac_coords": [[0.1196, 0.6250, 0.9946], [0.3750, 0.3696, 0.4946], [0.6304, 0.1250, 0.0054], [0.8750, 0.8804, 0.5054], [0.0000, 0.0000, 0.0000], [0.7500, 0.2500, 0.5000], [0.2500, 0.7500, 0.5000], [0.5000, 0.5000, 0.0000]],
  "total_energy_ev_per_atom": -2.3919,
  "e_form_ev_per_atom": 0.209
}